1.
A plane-wave DFT calculation with PBE-GGA was carried out for a geometry-optimized TmGaPdRu structure.

Values from the calculation:
The relative energy among the computed polymorphs comes out at 0.0 kJ/mol of atoms. As for the total energy: -6.138 eV/atom. For the calculated volume, the calculation gives 67 Å³/cell. The value obtained for the density of states at the Fermi level is 0.438 states/eV/cell. Its formation energy is -646 meV/atom.

Cell lengths 3.464, 4.386, 4.404 Å; angles 90.00, 90.00, 90.00 degrees
Fractional coordinates of all 4 atoms:
Tm 0.000 0.000 0.000
Ga 0.000 0.500 0.500
Pd 0.500 0.500 0.000
Ru 0.500 0.000 0.500



2.
A plane-wave DFT calculation with PBE-GGA was carried out for a geometry-optimized SbTe2CCl structure.

Values from the calculation:
The relative energy among the computed polymorphs comes out at 0.0 kJ/mol of atoms. As for the total energy: -3.375 eV/atom. For the calculated volume, the calculation gives 116 Å³/cell. The value obtained for the density of states at the Fermi level is 3.423 states/eV/cell. The energy relative to the elements, uncorrected is 4.603 eV per formula unit.

Cell lengths 4.820, 4.820, 4.976 Å; angles 90.00, 90.00, 90.00 degrees
Fractional coordinates of all 5 atoms:
Sb 0.000 0.000 0.000
Te 0.000 0.500 0.500
Te 0.500 0.000 0.500
C 0.000 0.000 0.500
Cl 0.500 0.500 0.000



3.
A plane-wave DFT calculation with PBE-GGA was carried out for a geometry-optimized SiBI2O structure.

Values from the calculation:
The relative energy among the computed polymorphs comes out at 0.0 kJ/mol of atoms. As for the total energy: -3.714 eV/atom. For the calculated volume, the calculation gives 124 Å³/cell. The value obtained for the density of states at the Fermi level is 2.860 states/eV/cell. The energy relative to the elements, uncorrected is 1.590 eV per formula unit.

Cell lengths 6.676, 6.676, 2.791 Å; angles 90.00, 90.00, 90.00 degrees
Fractional coordinates of all 5 atoms:
Si 0.000 0.000 0.000
B 0.500 0.500 0.500
I 0.000 0.500 0.500
I 0.500 0.000 0.500
O 0.500 0.500 0.000



4.
A plane-wave DFT calculation with PBE-GGA was carried out for a geometry-optimized Ce2Ho2Al3 structure.

Values from the calculation:
As for the total energy: -4.876 eV/atom. For the calculated volume, the calculation gives 163 Å³/cell. The value obtained for the density of states at the Fermi level is 9.985 states/eV/cell. Its formation energy is -269 meV/atom.

Cell lengths 11.846, 11.846, 3.250 Å; angles 90.00, 90.00, 159.03 degrees
Fractional coordinates of all 7 atoms:
Ce 0.212 0.788 0.000
Ce 0.788 0.212 0.000
Ho 0.071 0.929 0.000
Ho 0.929 0.071 0.000
Al 0.361 0.639 0.500
Al 0.500 0.500 0.500
Al 0.639 0.361 0.500



5.
A plane-wave DFT calculation with PBE-GGA was carried out for a geometry-optimized Nd2Mg16Cd structure.

Values from the calculation:
As for the total energy: -1.965 eV/atom. For the calculated volume, the calculation gives 461 Å³/cell. The value obtained for the density of states at the Fermi level is 7.734 states/eV/cell. Its formation energy is -72 meV/atom.

Cell lengths 7.792, 7.792, 7.792 Å; angles 82.25, 82.25, 82.25 degrees
Fractional coordinates of all 19 atoms:
Nd 0.000 0.000 0.000
Nd 0.344 0.344 0.344
Mg 0.024 0.024 0.510
Mg 0.024 0.510 0.024
Mg 0.169 0.673 0.673
Mg 0.320 0.320 0.830
Mg 0.320 0.830 0.320
Mg 0.370 0.671 0.973
Mg 0.370 0.973 0.671
Mg 0.510 0.024 0.024
Mg 0.579 0.579 0.579
Mg 0.671 0.370 0.973
Mg 0.671 0.973 0.370
Mg 0.673 0.169 0.673
Mg 0.673 0.673 0.169
Mg 0.830 0.320 0.320
Mg 0.973 0.370 0.671
Mg 0.973 0.671 0.370
Cd 0.774 0.774 0.774



6.
A plane-wave DFT calculation with PBE-GGA was carried out for a geometry-optimized BaCrSb2 structure.

Values from the calculation:
As for the total energy: -5.298 eV/atom. For the calculated volume, the calculation gives 119 Å³/cell. The value obtained for the density of states at the Fermi level is 1.998 states/eV/cell. The energy relative to the elements, uncorrected is -1.399 eV per formula unit.

Cell lengths 4.547, 4.547, 7.234 Å; angles 106.71, 106.71, 57.67 degrees
Fractional coordinates of all 4 atoms:
Ba 0.000 0.000 0.000
Cr 0.500 0.500 0.500
Sb 0.223 0.223 0.661
Sb 0.777 0.777 0.339



7.
A plane-wave DFT calculation with PBE-GGA was carried out for a geometry-optimized PmPuZnPd structure.

Values from the calculation:
As for the total energy: -6.717 eV/atom. For the calculated volume, the calculation gives 93 Å³/cell. The value obtained for the density of states at the Fermi level is 9.799 states/eV/cell. Its formation energy is -329 meV/atom.

Cell lengths 5.087, 5.087, 5.087 Å; angles 60.00, 60.00, 60.00 degrees
Fractional coordinates of all 4 atoms:
Pm 0.000 0.000 0.000
Pu 0.500 0.500 0.500
Zn 0.250 0.250 0.250
Pd 0.750 0.750 0.750



8.
A plane-wave DFT calculation with PBE-GGA was carried out for a geometry-optimized Sr2Cd2Rh3 structure.

Values from the calculation:
As for the total energy: -4.116 eV/atom. For the calculated volume, the calculation gives 159 Å³/cell. The value obtained for the density of states at the Fermi level is 5.728 states/eV/cell. Its formation energy is -223 meV/atom.

Cell lengths 6.066, 6.066, 7.149 Å; angles 119.10, 119.10, 45.38 degrees
Fractional coordinates of all 7 atoms:
Sr 0.167 0.167 0.266
Sr 0.833 0.833 0.734
Cd 0.133 0.133 0.756
Cd 0.867 0.867 0.244
Rh 0.427 0.427 0.084
Rh 0.500 0.500 0.500
Rh 0.573 0.573 0.916



9.
A plane-wave DFT calculation with PBE-GGA was carried out for a geometry-optimized CsSeICl2 structure.

Values from the calculation:
As for the total energy: -2.668 eV/atom. For the calculated volume, the calculation gives 172 Å³/cell. The value obtained for the density of states at the Fermi level is 3.017 states/eV/cell. The energy relative to the elements, uncorrected is -3.760 eV per formula unit.

Cell lengths 5.562, 5.562, 5.566 Å; angles 90.00, 90.00, 90.00 degrees
Fractional coordinates of all 5 atoms:
Cs 0.000 0.000 0.000
Se 0.500 0.500 0.500
I 0.500 0.500 0.000
Cl 0.000 0.500 0.500
Cl 0.500 0.000 0.500



10.
A plane-wave DFT calculation with PBE-GGA was carried out for a geometry-optimized Ce2HoZn structure.

Values from the calculation:
The relative energy among the computed polymorphs comes out at 0.9 kJ/mol of atoms. As for the total energy: -4.436 eV/atom. For the calculated volume, the calculation gives 109 Å³/cell. The value obtained for the density of states at the Fermi level is 11.206 states/eV/cell. Its formation energy is -6 meV/atom.

Cell lengths 3.721, 3.721, 7.904 Å; angles 90.00, 90.00, 90.00 degrees
Fractional coordinates of all 4 atoms:
Ce 0.000 0.000 0.201
Ce 0.000 0.000 0.799
Ho 0.500 0.500 0.500
Zn 0.500 0.500 0.000



11.
A plane-wave DFT calculation with PBE-GGA was carried out for a geometry-optimized KThGaBr6 structure.

Values from the calculation:
As for the total energy: -3.903 eV/atom. For the calculated volume, the calculation gives 746 Å³/cell. The value obtained for the density of states at the Fermi level is 0.000 states/eV/cell. The energy relative to the elements, uncorrected is -13.542 eV per formula unit.

Cell lengths 7.852, 7.852, 13.968 Å; angles 90.00, 90.00, 120.00 degrees
Fractional coordinates of all 18 atoms:
K 0.000 0.000 0.000
K 0.000 0.000 0.500
Th 0.333 0.667 0.250
Th 0.667 0.333 0.750
Ga 0.333 0.667 0.750
Ga 0.667 0.333 0.250
Br 0.027 0.374 0.134
Br 0.027 0.653 0.366
Br 0.347 0.374 0.366
Br 0.347 0.973 0.134
Br 0.374 0.027 0.634
Br 0.374 0.347 0.866
Br 0.626 0.653 0.134
Br 0.626 0.973 0.366
Br 0.653 0.027 0.866
Br 0.653 0.626 0.634
Br 0.973 0.347 0.634
Br 0.973 0.626 0.866



Question: calculated volume of number 9 (CsSeICl2)?
Answer: 172 Å³/cell



Question: Which value of calculated volume does entry 10 give?
Answer: 109 Å³/cell



Question: Which value of calculated volume does entry 4 give?
Answer: 163 Å³/cell